An optimized crystal structure of Rb2CaZnCl6. Source: the Alexandria database, functional PBE-GGA.

Lattice parameters (Å, degrees): 6.6227 7.3136 7.3136 120.00 90.00 90.00
Sites, in units of the cell vectors:
Rb  0.1783  0.3333  0.6667
Rb  0.8217  0.6667  0.3333
Ca  0.5000  0.0000  0.0000
Zn  0.0000  0.0000  0.0000
Cl  0.7750  0.1596  0.3192
Cl  0.7750  0.1596  0.8404
Cl  0.7750  0.6808  0.8404
Cl  0.2250  0.8404  0.1596
Cl  0.2250  0.3192  0.1596
Cl  0.2250  0.8404  0.6808

Properties
Energy above the most stable polymorph in this dataset: 0.0 kJ/mol of atoms
Formation energy (no corrections): -1768 kJ/mol of formula units
DOS at the Fermi energy: 0.00 states/eV/f.u.